(1)
First-principles (PBE-GGA) data for a relaxed structure of LiSm2Rh, as listed in Alexandria via LeMat-Bulk.

Cell: 4.064 4.064 8.542 Å, 76.24 76.24 60.00°
Sites, in units of the cell vectors:
Sm1 0.271 0.271 0.186
Rh1 0.666 0.666 0.003
Li1 0.502 0.502 0.494
Sm2 0.061 0.061 0.817

Calculated values
The value obtained for the total moment is 0.00 μB/cell. As for the theoretical density: 5.80 g cm⁻³. The total energy is -4.987 eV per atom. Its crystal system is trigonal.



(2)
First-principles (PBE-GGA) data for a relaxed structure of LiSmSn4Rh2, as listed in Alexandria via LeMat-Bulk.

Cell: 4.571 4.571 9.446 Å, 76.00 76.00 60.00°
Sites, in units of the cell vectors:
Li1 0.500 0.500 0.500
Sm1 0.000 0.000 0.000
Sn1 0.871 0.871 0.387
Rh1 0.768 0.768 0.696
Sn2 0.605 0.605 0.185
Sn3 0.395 0.395 0.815
Sn4 0.129 0.129 0.613
Rh2 0.232 0.232 0.304

Calculated values
The value obtained for the total moment is 0.00 μB/cell. As for the theoretical density: 8.48 g cm⁻³. The total energy is -5.199 eV per atom. Its crystal system is trigonal.



(3)
First-principles (PBE-GGA) data for a relaxed structure of SrLiSmRh, as listed in Alexandria via LeMat-Bulk.

Cell: 5.155 5.155 5.155 Å, 60.00 60.00 60.00°
Sites, in units of the cell vectors:
Rh1 0.500 0.500 0.500
Sr1 0.750 0.750 0.750
Li1 0.000 0.000 0.000
Sm1 0.250 0.250 0.250

Calculated values
The value obtained for the total moment is 0.00 μB/cell. As for the theoretical density: 5.96 g cm⁻³. The total energy is -4.120 eV per atom. Its crystal system is cubic.



(4)
First-principles (PBE-GGA) data for a relaxed structure of LiTbSmRh, as listed in Alexandria via LeMat-Bulk.

Cell: 4.997 4.997 4.997 Å, 60.00 60.00 60.00°
Sites, in units of the cell vectors:
Li1 0.000 0.000 0.000
Tb1 0.750 0.750 0.750
Sm1 0.250 0.250 0.250
Rh1 0.500 0.500 0.500

Calculated values
The value obtained for the total moment is 0.00 μB/cell. As for the theoretical density: 7.89 g cm⁻³. The total energy is -5.082 eV per atom. Its crystal system is cubic.



(5)
First-principles (PBE-GGA) data for a relaxed structure of LiSmTlRh, as listed in Alexandria via LeMat-Bulk.

Cell: 4.848 4.848 4.848 Å, 60.00 60.00 60.00°
Sites, in units of the cell vectors:
Tl1 0.750 0.750 0.750
Sm1 0.250 0.250 0.250
Rh1 0.000 0.000 0.000
Li1 0.500 0.500 0.500

Calculated values
The value obtained for the total moment is 0.00 μB/cell. As for the theoretical density: 9.58 g cm⁻³. The total energy is -4.463 eV per atom. Its crystal system is cubic.



(6)
First-principles (PBE-GGA) data for a relaxed structure of LiSmTmRh, as listed in Alexandria via LeMat-Bulk.

Cell: 4.953 4.953 4.953 Å, 60.00 60.00 60.00°
Sites, in units of the cell vectors:
Li1 0.000 0.000 0.000
Rh1 0.500 0.500 0.500
Sm1 0.250 0.250 0.250
Tm1 0.750 0.750 0.750

Calculated values
The value obtained for the total moment is 0.00 μB/cell. As for the theoretical density: 8.30 g cm⁻³. The total energy is -5.076 eV per atom. Its crystal system is cubic.



(7)
First-principles (PBE-GGA) data for a relaxed structure of LiSmTm2Rh4, as listed in Alexandria via LeMat-Bulk.

Cell: 4.685 4.685 8.202 Å, 73.41 73.41 60.00°
Sites, in units of the cell vectors:
Rh1 0.876 0.876 0.373
Rh2 0.378 0.378 0.865
Rh3 0.622 0.622 0.135
Tm1 0.241 0.241 0.277
Rh4 0.124 0.124 0.627
Sm1 0.000 0.000 0.000
Li1 0.500 0.500 0.500
Tm2 0.759 0.759 0.723

Calculated values
The value obtained for the total moment is 0.00 μB/cell. As for the theoretical density: 10.23 g cm⁻³. The total energy is -6.338 eV per atom. Its crystal system is trigonal.



(8)
First-principles (PBE-GGA) data for a relaxed structure of LiSm2URh6, as listed in Alexandria via LeMat-Bulk.

Cell: 5.951 7.115 5.958 Å, 65.18 60.03 90.00°
Sites, in units of the cell vectors:
U1 0.500 0.500 0.000
Rh1 0.242 0.207 0.035
Rh2 0.758 0.794 0.484
Rh3 0.277 0.793 0.965
Li1 0.000 0.000 0.000
Rh4 0.242 0.206 0.516
Sm1 0.768 0.303 0.465
Sm2 0.232 0.697 0.535
Rh5 0.758 0.793 0.965
Rh6 0.723 0.207 0.035

Calculated values
The value obtained for the total moment is 0.00 μB/cell. As for the theoretical density: 10.11 g cm⁻³. The total energy is -7.053 eV per atom. Its crystal system is monoclinic.



(9)
First-principles (PBE-GGA) data for a relaxed structure of LiSmYRh, as listed in Alexandria via LeMat-Bulk.

Cell: 4.995 4.995 4.995 Å, 60.00 60.00 60.00°
Sites, in units of the cell vectors:
Li1 0.000 0.000 0.000
Sm1 0.250 0.250 0.250
Y1 0.750 0.750 0.750
Rh1 0.500 0.500 0.500

Calculated values
The value obtained for the total moment is 0.00 μB/cell. As for the theoretical density: 6.58 g cm⁻³. The total energy is -5.545 eV per atom. Its crystal system is cubic.



(10)
First-principles (PBE-GGA) data for a relaxed structure of LiSmZnRh, as listed in Alexandria via LeMat-Bulk.

Cell: 4.689 4.689 4.689 Å, 60.00 60.00 60.00°
Sites, in units of the cell vectors:
Zn1 0.250 0.250 0.250
Rh1 0.500 0.500 0.500
Li1 0.000 0.000 0.000
Sm1 0.750 0.750 0.750

Calculated values
The value obtained for the total moment is 0.00 μB/cell. As for the theoretical density: 7.42 g cm⁻³. The total energy is -4.202 eV per atom. Its crystal system is cubic.



(11)
First-principles (PBE-GGA) data for a relaxed structure of Li2SnRh2, as listed in Alexandria via LeMat-Bulk.

Cell: 6.641 6.641 3.110 Å, 90.00 90.00 90.00°
Sites, in units of the cell vectors:
Li1 0.614 0.114 0.000
Li2 0.886 0.614 0.000
Rh1 0.187 0.687 0.500
Sn1 0.000 0.000 0.000
Rh2 0.687 0.813 0.500
Rh3 0.313 0.187 0.500
Li3 0.386 0.886 0.000
Li4 0.114 0.386 0.000
Sn2 0.500 0.500 0.000
Rh4 0.813 0.313 0.500

Calculated values
The relative energy among the computed polymorphs is 0.00 eV/f.u. The value obtained for the total moment is 0.00 μB/cell. As for the theoretical density: 8.20 g cm⁻³. The total energy is -4.784 eV per atom. Its crystal system is tetragonal.



(12)
First-principles (PBE-GGA) data for a relaxed structure of LiSnRh3, as listed in Alexandria via LeMat-Bulk.

Cell: 4.205 4.205 4.205 Å, 90.00 90.00 90.00°
Sites, in units of the cell vectors:
Sn1 0.500 0.500 0.500
Rh1 0.500 0.000 0.000
Li1 0.000 0.000 0.000
Rh2 0.000 0.500 0.000
Rh3 0.000 0.000 0.500

Calculated values
The relative energy among the computed polymorphs is 0.00 eV/f.u. The value obtained for the total moment is 0.00 μB/cell. As for the theoretical density: 9.70 g cm⁻³. The total energy is -5.347 eV per atom. Its crystal system is cubic.



no.,DFT formation energy (eV per atom)
1,-0.311
2,-0.530
3,-0.203
4,-0.428
5,-0.375
6,-0.462
7,-0.715
8,-0.378
9,-0.433
10,-0.388
11,-0.277
12,0.247